Entry 1:
Ca2HgBr | PBE | optimized geometry

Geometry as POSCAR:
```
Ca2HgBr
1.0
3.935 0.000 0.000
0.000 3.732 0.000
-0.024 0.000 8.404
Ca Hg Br
2 1 1
Cartesian
0.001 0.000 1.830
3.910 0.000 6.574
1.967 1.866 0.000
-0.012 1.866 4.202
```

Raw formation energy (meV/atom): -945
Excess energy over the best structure of this formula in the dataset (eV/atom): 0.000
Total DFT energy (no corrections) (eV/atom): -2.44

Entry 2:
SiIr8 | PBE | optimized geometry

Geometry as POSCAR:
```
SiIr8
1.0
-4.073 4.073 1.950
4.073 -4.073 1.950
4.073 4.073 -1.950
Si Ir
1 8
Cartesian
0.000 0.000 0.000
2.671 0.000 0.000
5.474 0.000 0.000
0.000 2.671 0.000
2.701 2.701 0.000
1.371 -1.371 1.950
-1.371 1.371 1.950
1.371 1.371 1.950
0.000 5.474 0.000
```

Raw formation energy (meV/atom): 2
Total DFT energy (no corrections) (eV/atom): -8.48

Entry 3:
BeZnCd | PBE | optimized geometry

Geometry as POSCAR:
```
BeZnCd
1.0
7.625 0.000 0.000
0.000 4.353 0.000
-1.237 0.000 2.866
Be Zn Cd
2 2 2
Cartesian
0.000 0.000 0.000
3.813 2.176 0.000
1.256 2.176 0.563
5.068 0.000 0.563
1.353 0.000 2.292
5.165 2.176 2.292
```

Energy of formation (kJ per mole of atoms): 28
Excess energy over the best structure of this formula in the dataset (eV/atom): 0.078
Total DFT energy (no corrections) (eV/atom): -1.68

Entry 4:
Pm6Si2GeSe3 | PBE | optimized geometry

Geometry as POSCAR:
```
Pm6Si2GeSe3
1.0
9.267 -2.116 0.000
9.267 2.116 0.000
-2.077 0.000 8.253
Pm Si Ge Se
6 2 1 3
Cartesian
-0.465 0.000 2.026
5.254 0.000 3.492
4.317 0.000 7.508
12.140 0.000 0.745
11.203 0.000 4.761
16.922 0.000 6.228
2.397 0.000 2.751
14.061 0.000 5.502
9.267 0.000 0.000
1.357 0.000 6.877
8.229 0.000 4.127
15.101 0.000 1.377
```

Raw formation energy (meV/atom): -1341
Total DFT energy (no corrections) (eV/atom): -5.88